VASP calculation (PBE) on BaCuP2 after structural relaxation.

Calculated values
* DFT formation energy: 0.223 eV per atom
* magnetization: 0.00 μB/cell
* DFT total energy: -15.9 eV per cell

a = 4.5050 Å, b = 4.5050 Å, c = 4.3726 Å
α = 90.00°, β = 90.00°, γ = 90.00°
Closest atoms and distances in Å follow each position.
Space group P4/mmm (No. 123)
Symmetry-distinct sites (fractional):
Ba (0.0000, 0.0000, 0.0000) [1 per cell]  8 P 3.14, 4 Cu 3.19
Cu (0.5000, 0.5000, 0.0000) [1 per cell]  8 P 3.14, 4 Ba 3.19
P (0.0000, 0.5000, 0.5000) [2 per cell]  4 Ba 3.14, 4 Cu 3.14, 4 P 3.19

---

VASP calculation (PBE) on Nd5Rh3 after structural relaxation.

Calculated values
* DFT formation energy: -0.598 eV per atom
* magnetization: 0.00 μB/cell
* DFT total energy: -202.7 eV per cell

a = 11.2716 Å, b = 11.2716 Å, c = 6.5502 Å
α = 90.00°, β = 90.00°, γ = 90.00°
Closest atoms and distances in Å follow each position.
Space group P4/ncc (No. 130, origin choice 2)
Symmetry-distinct sites (fractional):
Nd (0.0416, 0.1592, 0.1166) [16 per cell]  5 Rh 2.94-3.29
Nd (0.2500, 0.7500, 0.0000) [4 per cell]  4 Rh 2.96, 2 Nd 3.28
Rh (0.0955, 0.5955, 0.7500) [8 per cell]  8 Nd 2.94-3.29
Rh (0.2500, 0.2500, 0.3762) [4 per cell]  8 Nd 3.01-3.07, 2 Rh 3.28

---

VASP calculation (PBE) on GdScZnCu after structural relaxation.

Calculated values
* DFT formation energy: -0.257 eV per atom
* magnetization: 28.72 μB/cell
* DFT total energy: -107.2 eV per cell

a = 6.8837 Å, b = 6.8837 Å, c = 6.8837 Å
α = 90.00°, β = 90.00°, γ = 90.00°
Closest atoms and distances in Å follow each position.
Space group F-43m (No. 216)
Symmetry-distinct sites (fractional):
Gd (0.0000, 0.0000, 0.0000) [4 per cell]  4 Zn 2.98, 4 Cu 2.98
Sc (0.0000, 0.0000, 0.5000) [4 per cell]  4 Cu 2.98, 4 Zn 2.98
Zn (0.2500, 0.2500, 0.7500) [4 per cell]  4 Gd 2.98, 4 Sc 2.98
Cu (0.2500, 0.2500, 0.2500) [4 per cell]  4 Gd 2.98, 4 Sc 2.98

---

VASP calculation (PBE) on CeYTmCd after structural relaxation.

Calculated values
* DFT formation energy: 0.001 eV per atom
* magnetization: 6.40 μB/cell
* DFT total energy: -71.1 eV per cell

a = 7.6955 Å, b = 7.6955 Å, c = 7.6955 Å
α = 90.00°, β = 90.00°, γ = 90.00°
Closest atoms and distances in Å follow each position.
Space group F-43m (No. 216)
Symmetry-distinct sites (fractional):
Ce (0.0000, 0.0000, 0.0000) [4 per cell]  4 Tm 3.33, 4 Cd 3.33
Y (0.0000, 0.0000, 0.5000) [4 per cell]  4 Cd 3.33, 4 Tm 3.33
Tm (0.2500, 0.2500, 0.2500) [4 per cell]  4 Ce 3.33, 4 Y 3.33
Cd (0.2500, 0.2500, 0.7500) [4 per cell]  4 Ce 3.33, 4 Y 3.33

---

VASP calculation (PBE) on HgGeF3 after structural relaxation.

Calculated values
* polymorph energy (0 for the lowest one): 0.0 meV/atom
* formation energy (no corrections): -1818 meV per atom
* magnetization: 0.00 μB/cell
* DFT total energy: -39.3 eV per cell

a = 5.8922 Å, b = 6.3879 Å, c = 6.5372 Å
α = 76.96°, β = 76.15°, γ = 76.89°
Closest atoms and distances in Å follow each position.
Space group P1 (No. 1)
Symmetry-distinct sites (fractional):
Hg (0.0000, 0.0000, 0.0000) [1 per cell]  6 F 3.17-3.42, 2 Hg 3.27
Hg (0.0026, 0.9998, 0.4994) [1 per cell]  2 Ge 2.54
Ge (0.2790, 0.2709, 0.3289) [1 per cell]  3 F 1.75-1.77
Ge (0.7244, 0.7302, 0.6689) [1 per cell]  3 F 1.75-1.77
F (0.1576, 0.5523, 0.3027) [1 per cell]  1 Ge 1.76
F (0.4257, 0.2518, 0.0647) [1 per cell]  1 Ge 1.75
F (0.4860, 0.7521, 0.5394) [1 per cell]  1 Ge 1.77
F (0.5207, 0.2482, 0.4545) [1 per cell]  1 Ge 1.77
F (0.5725, 0.7534, 0.9310) [1 per cell]  1 Ge 1.75
F (0.8438, 0.4483, 0.7000) [1 per cell]  1 Ge 1.76

---

VASP calculation (PBE) on Nd6AlZn5 after structural relaxation.

Calculated values
* DFT formation energy: -0.312 eV per atom
* magnetization: 0.00 μB/cell
* DFT total energy: -84.9 eV per cell

a = 5.2105 Å, b = 15.6790 Å, c = 7.4064 Å
α = 90.00°, β = 90.00°, γ = 90.00°
Closest atoms and distances in Å follow each position.
Space group Cmmm (No. 65)
Symmetry-distinct sites (fractional):
Nd (0.0000, 0.0000, 0.2488) [4 per cell]  6 Zn 3.18-3.20, 2 Al 3.20
Nd (0.0000, 0.3328, 0.2512) [8 per cell]  7 Zn 3.19-3.22, 1 Al 3.20
Al (0.0000, 0.5000, 0.5000) [2 per cell]  8 Nd 3.20
Zn (0.0000, 0.1647, 0.5000) [4 per cell]  8 Nd 3.18-3.22
Zn (0.0000, 0.1665, 0.0000) [4 per cell]  8 Nd 3.20
Zn (0.0000, 0.5000, 0.0000) [2 per cell]  8 Nd 3.19-3.21

---

VASP calculation (PBE) on Li2NiGeS after structural relaxation.

Calculated values
* formation energy (no corrections): -63 meV per atom
* magnetization: 0.00 μB/cell
* DFT total energy: -18.7 eV per cell

a = 4.4853 Å, b = 4.4853 Å, c = 4.3972 Å
α = 90.00°, β = 90.00°, γ = 90.00°
Closest atoms and distances in Å follow each position.
Space group P4/mmm (No. 123)
Symmetry-distinct sites (fractional):
Li (0.0000, 0.5000, 0.0000) [2 per cell]  2 Ni 2.24
Ni (0.0000, 0.0000, 0.0000) [1 per cell]  2 Ge 2.20, 4 Li 2.24
Ge (0.0000, 0.0000, 0.5000) [1 per cell]  2 Ni 2.20
S (0.5000, 0.5000, 0.5000) [1 per cell]  8 Li 3.14, 4 Ge 3.17

---

VASP calculation (PBE) on Ca3SiBi after structural relaxation.

Calculated values
* polymorph energy (0 for the lowest one): 155.1 meV/atom
* formation energy (no corrections): -413 meV per atom
* magnetization: 0.00 μB/cell
* DFT total energy: -17.4 eV per cell

a = 5.5605 Å, b = 5.5605 Å, c = 5.5605 Å
α = 90.00°, β = 90.00°, γ = 90.00°
Closest atoms and distances in Å follow each position.
Space group Pm-3m (No. 221)
Symmetry-distinct sites (fractional):
Ca (0.0000, 0.0000, 0.5000) [3 per cell]  2 Si 2.78
Si (0.0000, 0.0000, 0.0000) [1 per cell]  6 Ca 2.78
Bi (0.5000, 0.5000, 0.5000) [1 per cell]  12 Ca 3.93